Compound: PmPa4S8
Source: Alexandria via LeMat-Bulk
Functional: PBE
Structure: optimized geometry

Its spin magnetization is 0.516 μB per atom. Its volume is 1522.6 Å³/cell. The value obtained for the energy relative to the elements, uncorrected is -147.6 kJ/mol of atoms.

The space group is F-43m (No. 216) and the conventional cell measures 11.504, 11.504 and 11.504 Å, with angles of 90.00, 90.00 and 90.00 degrees. The inequivalent atoms are Pm at (0.000, 0.000, 0.000), Pa at (0.123, 0.123, 0.377), S at (0.113, 0.113, 0.613) and S at (0.135, 0.135, 0.135).

---

Compound: PmPa2S6
Source: Alexandria via LeMat-Bulk
Functional: PBE
Structure: optimized geometry

Its spin magnetization is 0.122 μB per atom. Its volume is 926.3 Å³/cell. As for the energy relative to the lowest polymorph listed for this composition: 0.0 kJ/mol of atoms. The value obtained for the energy relative to the elements, uncorrected is -158.7 kJ/mol of atoms.

The space group is C2/c (No. 15) and the conventional cell measures 13.378, 10.760 and 7.146 Å, with angles of 90.00, 115.77 and 90.00 degrees. The inequivalent atoms are Pm at (0.000, 0.170, 0.250), Pa at (0.231, 0.423, 0.908), S at (0.121, 0.045, 0.681), S at (0.128, 0.265, 0.043) and S at (0.132, 0.384, 0.500).

---

Compound: Pm2Pa2S7
Source: Alexandria via LeMat-Bulk
Functional: PBE
Structure: optimized geometry

Its spin magnetization is 0.177 μB per atom. Its volume is 283.8 Å³/cell. As for the energy relative to the lowest polymorph listed for this composition: 10.8 kJ/mol of atoms. The value obtained for the energy relative to the elements, uncorrected is -165.3 kJ/mol of atoms.

The space group is P-4m2 (No. 115) and the conventional cell measures 4.637, 4.637 and 13.200 Å, with angles of 90.00, 90.00 and 90.00 degrees. The inequivalent atoms are Pm at (0.000, 0.500, 0.139), Pa at (0.000, 0.500, 0.623), S at (0.000, 0.000, 0.245), S at (0.000, 0.000, 0.500), S at (0.500, 0.500, 0.000), S at (0.500, 0.500, 0.262) and S at (0.500, 0.500, 0.500).

---

- Among the records above, which one has the lowest energy relative to the elements, uncorrected?
  Pm2Pa2S7